# 1
DFT (PBE-GGA) results for PrCrPt4 after structural relaxation.

The space group is F-43m (No. 216) and the conventional cell measures 7.648, 7.648 and 7.648 Å, with angles of 90.00, 90.00 and 90.00 degrees. The asymmetric unit holds Pr at (0.000, 0.000, 0.000), Cr at (0.250, 0.250, 0.250) and Pt at (0.124, 0.124, 0.624).

As for the formation energy: -0.561 eV/atom. The calculation puts the total energy at -6.988 eV/atom.

***

# 2
DFT (PBE-GGA) results for Nd3P4Rh7 after structural relaxation.

The space group is C2/m (No. 12) and the conventional cell measures 15.260, 4.008 and 9.369 Å, with angles of 90.00, 125.22 and 90.00 degrees. The asymmetric unit holds Nd at (0.000, 0.000, 0.000), Nd at (0.173, 0.500, 0.671), P at (0.109, 0.000, 0.827), P at (0.166, 0.500, 0.279), Rh at (0.000, 0.000, 0.500), Rh at (0.006, 0.500, 0.269), Rh at (0.169, 0.000, 0.421) and Rh at (0.198, 0.500, 0.044).

As for the formation energy: -0.996 eV/atom. The calculation puts the total energy at -7.239 eV/atom.

***

# 3
DFT (PBE-GGA) results for MnNiTeN2 after structural relaxation.

The space group is P4/mmm (No. 123) and the conventional cell measures 3.586, 3.586 and 5.617 Å, with angles of 90.00, 90.00 and 90.00 degrees. The asymmetric unit holds Mn at (0.000, 0.000, 0.000), Ni at (0.500, 0.500, 0.500), Te at (0.000, 0.000, 0.500) and N at (0.000, 0.500, 0.000).

The calculation puts the total energy at -6.288 eV/atom. For the uncorrected formation energy, the calculation gives 0.66 eV per atom. Its excess energy over the best structure of this formula in the dataset is 0 meV/atom.